The following is a DFT calculation (PBE) of Pm3TmZn4 after structural relaxation.

CIF file:
```
data_Pm3TmZn4
_cell_length_a 5.1131
_cell_length_b 5.1131
_cell_length_c 25.2424
_cell_angle_alpha 90.00
_cell_angle_beta 90.00
_cell_angle_gamma 120.00
_space_group_name_H-M_alt 'R -3 m'
_space_group_IT_number 166
_space_group_name_Hall '-R 3 2"'
loop_
_atom_site_label
_atom_site_type_symbol
_atom_site_fract_x
_atom_site_fract_y
_atom_site_fract_z
Pm1 Pm 0.0000 0.0000 0.0000
Pm2 Pm 0.0000 0.0000 0.2483
Tm1 Tm 0.0000 0.0000 0.5000
Zn1 Zn 0.0000 0.0000 0.1265
Zn2 Zn 0.0000 0.0000 0.3770
```

Values from the calculation:
The calculation puts the formation energy at -0.32 eV per atom.